Record 1
The following is a DFT calculation (PBE) of crystalline Zr3Ni20B6 at its relaxed geometry.

POSCAR file:
```
Zr3Ni20B6
1.0
0.000 5.355 5.355
5.355 0.000 5.355
5.355 5.355 0.000
Zr Ni B
3 20 6
Cartesian
0.000 0.000 0.000
2.677 2.677 2.677
8.032 8.032 8.032
1.847 1.847 0.000
3.508 3.508 0.000
1.847 0.000 1.847
5.355 3.508 1.847
3.508 0.000 3.508
5.355 1.847 3.508
6.570 4.139 4.139
0.000 1.847 1.847
3.508 5.355 1.847
3.508 1.847 5.355
4.139 4.139 4.139
6.570 6.570 4.139
6.570 4.139 6.570
4.139 6.570 4.139
4.139 4.139 6.570
6.570 6.570 6.570
0.000 3.508 3.508
1.847 5.355 3.508
1.847 3.508 5.355
4.139 6.570 6.570
5.355 5.355 2.853
5.355 2.853 5.355
7.856 5.355 5.355
2.853 5.355 5.355
5.355 7.856 5.355
5.355 5.355 7.856
```

Output
ΔH_f (0 K): -423 meV/atom
symmetry: No. 225
DFT total energy: -193.59 eV per cell
size of the total moment: 0.00 μB per cell


Record 2
The following is a DFT calculation (PBE) of crystalline SnBi2Au at its relaxed geometry.

POSCAR file:
```
SnBi2Au
1.0
3.795 0.000 0.000
0.000 3.795 0.000
0.000 0.000 7.547
Sn Bi Au
1 2 1
Cartesian
0.000 0.000 0.000
1.897 1.897 2.115
1.897 1.897 5.433
0.000 0.000 3.774
```

Output
ΔH_f (0 K): 91 meV/atom
symmetry: No. 123
DFT total energy: -14.68 eV per cell
size of the total moment: 0.00 μB per cell


Record 3
The following is a DFT calculation (PBE) of crystalline ZrTi2Sn at its relaxed geometry.

POSCAR file:
```
ZrTi2Sn
1.0
7.692 0.000 0.000
0.000 7.692 0.000
0.000 0.000 5.729
Zr Ti Sn
4 8 4
Cartesian
0.000 0.000 0.000
0.000 3.846 1.432
3.846 0.000 4.297
3.846 3.846 2.865
1.859 5.769 3.581
1.923 1.859 2.149
1.923 1.987 5.013
1.987 5.769 0.716
5.705 1.923 0.716
5.769 5.705 5.013
5.769 5.833 2.149
5.833 1.923 3.581
0.000 0.000 2.865
0.000 3.846 4.297
3.846 0.000 1.432
3.846 3.846 0.000
```

Output
ΔH_f (0 K): 284 meV/atom
symmetry: No. 122
DFT total energy: -108.82 eV per cell
size of the total moment: 0.00 μB per cell


Record 4
The following is a DFT calculation (PBE) of crystalline ZrPaAs2 at its relaxed geometry.

POSCAR file:
```
ZrPaAs2
1.0
3.940 0.000 0.000
-1.970 3.412 0.000
0.000 0.000 8.377
Zr Pa As
1 1 2
Cartesian
0.000 0.000 0.000
0.000 2.275 4.302
0.000 0.000 2.624
0.000 2.275 7.067
```

Output
ΔH_f (0 K): -251 meV/atom
symmetry: No. 156
DFT total energy: -28.35 eV per cell
size of the total moment: 0.35 μB per cell
relative energy among the computed polymorphs: 3.41 eV per formula unit


Record 5
The following is a DFT calculation (PBE) of crystalline BaDyP2Pt4 at its relaxed geometry.

POSCAR file:
```
BaDyP2Pt4
1.0
4.103 0.000 0.000
0.000 4.103 0.000
0.000 0.000 10.299
Ba Dy P Pt
1 1 2 4
Cartesian
0.000 0.000 0.000
0.000 0.000 5.150
2.052 2.052 1.875
2.052 2.052 8.424
0.000 2.052 3.039
0.000 2.052 7.260
2.052 0.000 3.039
2.052 0.000 7.260
```

Output
ΔH_f (0 K): -892 meV/atom
symmetry: No. 123
DFT total energy: -48.65 eV per cell
size of the total moment: 0.00 μB per cell


Record 6
The following is a DFT calculation (PBE) of crystalline Li2BeOs at its relaxed geometry.

POSCAR file:
```
Li2BeOs
1.0
2.544 0.000 0.000
0.000 3.840 0.000
0.000 0.000 5.252
Li Be Os
2 1 1
Cartesian
0.000 0.000 0.000
1.272 1.920 1.266
1.272 1.920 3.510
0.000 0.000 2.742
```

Output
ΔH_f (0 K): 131 meV/atom
symmetry: No. 25
DFT total energy: -18.26 eV per cell
size of the total moment: 0.00 μB per cell


Record 7
The following is a DFT calculation (PBE) of crystalline CdAs2Se at its relaxed geometry.

POSCAR file:
```
CdAs2Se
1.0
3.984 0.000 0.000
0.000 5.449 0.000
0.000 0.000 7.899
Cd As Se
2 4 2
Cartesian
0.000 0.000 0.000
1.992 2.725 0.000
0.000 2.725 2.070
0.000 2.725 5.829
1.992 0.000 2.070
1.992 0.000 5.829
0.000 0.000 3.949
1.992 2.725 3.949
```

Output
symmetry: No. 65
DFT total energy: -24.43 eV per cell
size of the total moment: 0.00 μB per cell
energy relative to the elements, uncorrected: 0.371 eV/atom
relative energy among the computed polymorphs: 1.94 eV per formula unit


Record 8
The following is a DFT calculation (PBE) of crystalline TbMgSi at its relaxed geometry.

POSCAR file:
```
TbMgSi
1.0
4.175 0.000 0.000
0.000 3.799 0.000
-2.084 0.000 8.684
Tb Mg Si
2 2 2
Cartesian
-0.001 0.950 1.522
2.091 2.849 7.162
0.006 0.950 5.065
2.085 2.849 3.619
0.005 0.950 7.923
2.086 2.849 0.761
```

Output
symmetry: No. 11
DFT total energy: -26.07 eV per cell
size of the total moment: 0.00 μB per cell
energy relative to the elements, uncorrected: -0.462 eV/atom